1.
This record from Alexandria via LeMat-Bulk describes a relaxed NaZn2CoS crystal. The functional is PBE-GGA.

CIF file:
```
data_NaZn2CoS
_symmetry_space_group_name_H-M 'P 4/m m m'
_symmetry_Int_Tables_number 123
_symmetry_space_group_name_Hall '-P 4 2'
_cell_length_a 4.9894
_cell_length_b 4.9894
_cell_length_c 4.1115
_cell_angle_alpha 90.00
_cell_angle_beta 90.00
_cell_angle_gamma 90.00
loop_
_atom_site_label
_atom_site_type_symbol
_atom_site_fract_x
_atom_site_fract_y
_atom_site_fract_z
Na1 Na 0.0000 0.0000 0.0000
Zn1 Zn 0.0000 0.5000 0.5000
Co1 Co 0.5000 0.5000 0.0000
S1 S 0.5000 0.5000 0.5000
```

- E (eV for the cell shown) = -13.5
- size of the total moment (Bohr magnetons per cell) = 1.1
- uncorrected formation energy (meV/atom) = 325

---

2.
This record from Alexandria via LeMat-Bulk describes a relaxed Na3Zr3CoS8 crystal. The functional is PBE-GGA.

CIF file:
```
data_Na3Zr3CoS8
_symmetry_space_group_name_H-M 'R -3 m'
_symmetry_Int_Tables_number 166
_symmetry_space_group_name_Hall '-R 3 2"'
_cell_length_a 7.2958
_cell_length_b 7.2958
_cell_length_c 20.5243
_cell_angle_alpha 90.00
_cell_angle_beta 90.00
_cell_angle_gamma 120.00
loop_
_atom_site_label
_atom_site_type_symbol
_atom_site_fract_x
_atom_site_fract_y
_atom_site_fract_z
Na1 Na 0.0000 0.5000 0.0000
Zr1 Zr 0.0000 0.5000 0.5000
Co1 Co 0.0000 0.0000 0.5000
S1 S 0.0000 0.0000 0.2413
S2 S 0.0152 0.5076 0.2356
```

- E (eV for the cell shown) = -266.3
- size of the total moment (Bohr magnetons per cell) = 4.2
- uncorrected formation energy (meV/atom) = -1268

---

3.
This record from Alexandria via LeMat-Bulk describes a relaxed Na2Zr2CoS6 crystal. The functional is PBE-GGA.

CIF file:
```
data_Na2Zr2CoS6
_symmetry_space_group_name_H-M 'C 1 2/m 1'
_symmetry_Int_Tables_number 12
_symmetry_space_group_name_Hall '-C 2y'
_cell_length_a 6.2528
_cell_length_b 10.8253
_cell_length_c 7.1536
_cell_angle_alpha 90.00
_cell_angle_beta 106.88
_cell_angle_gamma 90.00
loop_
_atom_site_label
_atom_site_type_symbol
_atom_site_fract_x
_atom_site_fract_y
_atom_site_fract_z
Na1 Na 0.0000 0.1681 0.0000
Zr1 Zr 0.0000 0.3301 0.5000
Co1 Co 0.0000 0.0000 0.5000
S1 S 0.2352 0.0000 0.3007
S2 S 0.2374 0.1588 0.7136
```

- E (eV for the cell shown) = -129.4
- size of the total moment (Bohr magnetons per cell) = 2.0
- uncorrected formation energy (meV/atom) = -1189

---

4.
This record from Alexandria via LeMat-Bulk describes a relaxed NaZrCoS2 crystal. The functional is PBE-GGA.

CIF file:
```
data_NaZrCoS2
_symmetry_space_group_name_H-M 'P 4/m m m'
_symmetry_Int_Tables_number 123
_symmetry_space_group_name_Hall '-P 4 2'
_cell_length_a 4.4784
_cell_length_b 4.4784
_cell_length_c 4.3256
_cell_angle_alpha 90.00
_cell_angle_beta 90.00
_cell_angle_gamma 90.00
loop_
_atom_site_label
_atom_site_type_symbol
_atom_site_fract_x
_atom_site_fract_y
_atom_site_fract_z
Na1 Na 0.0000 0.0000 0.0000
Zr1 Zr 0.5000 0.5000 0.0000
Co1 Co 0.0000 0.0000 0.5000
S1 S 0.0000 0.5000 0.5000
```

- E (eV for the cell shown) = -24.3
- size of the total moment (Bohr magnetons per cell) = 0.0
- uncorrected formation energy (meV/atom) = 183

---

5.
This record from Alexandria via LeMat-Bulk describes a relaxed NaZrCoS3 crystal. The functional is PBE-GGA.

CIF file:
```
data_NaZrCoS3
_symmetry_space_group_name_H-M 'P 1 21/m 1'
_symmetry_Int_Tables_number 11
_symmetry_space_group_name_Hall '-P 2yb'
_cell_length_a 7.9406
_cell_length_b 3.6289
_cell_length_c 8.8045
_cell_angle_alpha 90.00
_cell_angle_beta 107.96
_cell_angle_gamma 90.00
loop_
_atom_site_label
_atom_site_type_symbol
_atom_site_fract_x
_atom_site_fract_y
_atom_site_fract_z
Na1 Na 0.2051 0.2500 0.2336
Zr1 Zr 0.3142 0.7500 0.8305
Co1 Co 0.0873 0.2500 0.5941
S1 S 0.0988 0.2500 0.8573
S2 S 0.2113 0.7500 0.5217
S3 S 0.4426 0.7500 0.1509
```

- E (eV for the cell shown) = -72.8
- size of the total moment (Bohr magnetons per cell) = 2.9
- uncorrected formation energy (meV/atom) = -1172

---

6.
This record from Alexandria via LeMat-Bulk describes a relaxed NaCo4Sb12 crystal. The functional is PBE-GGA.

CIF file:
```
data_NaCo4Sb12
_symmetry_space_group_name_H-M 'I m -3'
_symmetry_Int_Tables_number 204
_symmetry_space_group_name_Hall '-I 2 2 3'
_cell_length_a 9.1750
_cell_length_b 9.1750
_cell_length_c 9.1750
_cell_angle_alpha 90.00
_cell_angle_beta 90.00
_cell_angle_gamma 90.00
loop_
_atom_site_label
_atom_site_type_symbol
_atom_site_fract_x
_atom_site_fract_y
_atom_site_fract_z
Na1 Na 0.0000 0.0000 0.0000
Co1 Co 0.2500 0.2500 0.2500
Sb1 Sb 0.0000 0.1608 0.3347
```

- E (eV for the cell shown) = -165.2
- size of the total moment (Bohr magnetons per cell) = 0.0
- uncorrected formation energy (meV/atom) = -200

---

7.
This record from Alexandria via LeMat-Bulk describes a relaxed NaCo2Sb crystal. The functional is PBE-GGA.

CIF file:
```
data_NaCo2Sb
_symmetry_space_group_name_H-M 'I -4 2 d'
_symmetry_Int_Tables_number 122
_symmetry_space_group_name_Hall 'I -4 2bw'
_cell_length_a 7.2618
_cell_length_b 7.2618
_cell_length_c 5.6074
_cell_angle_alpha 90.00
_cell_angle_beta 90.00
_cell_angle_gamma 90.00
loop_
_atom_site_label
_atom_site_type_symbol
_atom_site_fract_x
_atom_site_fract_y
_atom_site_fract_z
Na1 Na 0.0000 0.0000 0.0000
Co1 Co 0.2118 0.2500 0.6250
Sb1 Sb 0.0000 0.0000 0.5000
```

- E (eV for the cell shown) = -67.4
- size of the total moment (Bohr magnetons per cell) = 8.5
- uncorrected formation energy (meV/atom) = 701

---

8.
This record from Alexandria via LeMat-Bulk describes a relaxed NaCoSb2 crystal. The functional is PBE-GGA.

CIF file:
```
data_NaCoSb2
_symmetry_space_group_name_H-M 'R -3 m'
_symmetry_Int_Tables_number 166
_symmetry_space_group_name_Hall '-R 3 2"'
_cell_length_a 3.9343
_cell_length_b 3.9343
_cell_length_c 21.3952
_cell_angle_alpha 90.00
_cell_angle_beta 90.00
_cell_angle_gamma 120.00
loop_
_atom_site_label
_atom_site_type_symbol
_atom_site_fract_x
_atom_site_fract_y
_atom_site_fract_z
Na1 Na 0.0000 0.0000 0.0000
Co1 Co 0.0000 0.0000 0.5000
Sb1 Sb 0.0000 0.0000 0.2218
```

- E (eV for the cell shown) = -51.7
- size of the total moment (Bohr magnetons per cell) = 0.0
- uncorrected formation energy (meV/atom) = -143